1.
Here is SiHgAu after structural relaxation from the Alexandria database. Energies are from PBE.

## Properties
N(E_F), states/eV/f.u.: 1.25
Distance to the lowest polymorph of the same formula, meV per atom: 93
Formation energy (no corrections), meV per atom: 270.4

a = 6.404 Å, b = 6.404 Å, c = 6.404 Å
α = 154.47°, β = 147.00°, γ = 42.18°
Positions (direct):
Hg  0.668  0.668  0.000
Au  0.973  0.973  0.000
Si  0.360  0.360  0.000

---

2.
Here is SiHg2Au after structural relaxation from the Alexandria database. Energies are from PBE.

## Properties
N(E_F), states/eV/f.u.: 1.12
Formation energy (no corrections), meV per atom: 360.4

a = 5.628 Å, b = 5.628 Å, c = 5.628 Å
α = 145.87°, β = 121.74°, γ = 69.28°
Positions (direct):
Au  0.750  0.250  0.500
Hg  0.008  0.008  0.000
Hg  0.492  0.492  0.000
Si  0.250  0.750  0.500

---

3.
Here is SiHg2Au after structural relaxation from the Alexandria database. Energies are from PBE.

## Properties
N(E_F), states/eV/f.u.: 1.36
Formation energy (no corrections), meV per atom: 148.0

a = 2.976 Å, b = 4.031 Å, c = 8.167 Å
α = 90.00°, β = 90.00°, γ = 90.00°
Positions (direct):
Au  0.500  0.500  0.600
Hg  0.500  0.500  0.242
Hg  0.000  0.000  0.990
Si  0.000  0.000  0.668

---

4.
Here is SiHg3Au after structural relaxation from the Alexandria database. Energies are from PBE.

## Properties
N(E_F), states/eV/f.u.: 3.19
Distance to the lowest polymorph of the same formula, meV per atom: 284
Formation energy (no corrections), meV per atom: 682.9

a = 5.291 Å, b = 5.291 Å, c = 5.291 Å
α = 90.00°, β = 90.00°, γ = 90.00°
Positions (direct):
Au  0.000  0.000  0.000
Si  0.500  0.500  0.500
Hg  0.000  0.000  0.500
Hg  0.500  0.000  0.000
Hg  0.000  0.500  0.000

---

5.
Here is Sr2Si3HgAu4 after structural relaxation from the Alexandria database. Energies are from PBE.

## Properties
N(E_F), states/eV/f.u.: 4.82
Formation energy (no corrections), meV per atom: -424.7

a = 4.458 Å, b = 4.458 Å, c = 10.914 Å
α = 90.00°, β = 90.00°, γ = 90.00°
Positions (direct):
Au  0.000  0.500  0.345
Au  0.500  0.500  0.000
Au  0.500  0.000  0.655
Au  0.000  0.000  0.000
Si  0.000  0.500  0.121
Si  0.000  0.000  0.500
Si  0.500  0.000  0.879
Hg  0.500  0.500  0.500
Sr  0.000  0.500  0.757
Sr  0.500  0.000  0.243

---

6.
Here is Sr2Si3HgAu12 after structural relaxation from the Alexandria database. Energies are from PBE.

## Properties
N(E_F), states/eV/f.u.: 8.57
Formation energy (no corrections), meV per atom: -67.4

a = 8.223 Å, b = 8.223 Å, c = 8.223 Å
α = 65.23°, β = 65.23°, γ = 65.23°
Positions (direct):
Au  0.326  0.326  0.875
Au  0.674  0.125  0.674
Au  0.133  0.133  0.614
Au  0.875  0.326  0.326
Au  0.133  0.614  0.133
Au  0.125  0.674  0.674
Au  0.674  0.674  0.125
Au  0.614  0.133  0.133
Au  0.326  0.875  0.326
Au  0.867  0.386  0.867
Au  0.386  0.867  0.867
Au  0.867  0.867  0.386
Sr  0.396  0.396  0.396
Sr  0.604  0.604  0.604
Hg  0.000  0.000  0.000
Si  0.000  0.500  0.000
Si  0.000  0.000  0.500
Si  0.500  0.000  0.000

---

7.
Here is SiHg2Te4Au after structural relaxation from the Alexandria database. Energies are from PBE.

## Properties
N(E_F), states/eV/f.u.: 2.88
Formation energy (no corrections), meV per atom: -15.7

a = 6.452 Å, b = 6.452 Å, c = 7.993 Å
α = 113.79°, β = 113.79°, γ = 90.02°
Positions (direct):
Te  0.147  0.147  0.775
Te  0.628  0.628  0.775
Te  0.854  0.371  0.225
Te  0.371  0.854  0.225
Hg  0.750  0.250  0.500
Hg  0.250  0.750  0.500
Si  0.500  0.500  0.001
Au  0.000  0.000  0.999

---

8.
Here is TlSiHg2Au after structural relaxation from the Alexandria database. Energies are from PBE.

## Properties
N(E_F), states/eV/f.u.: 2.76
Formation energy (no corrections), meV per atom: 133.7

a = 5.204 Å, b = 4.914 Å, c = 5.204 Å
α = 90.00°, β = 90.00°, γ = 90.00°
Positions (direct):
Si  0.000  0.000  0.000
Hg  0.000  0.000  0.500
Hg  0.500  0.000  0.000
Au  0.000  0.500  0.000
Tl  0.500  0.500  0.500